(1)
The following is a DFT calculation (PBE) of a relaxed structure of ScTaN.

Summary:
The energy above the most stable polymorph in this dataset is 0.0 meV/atom. The space group is P-3m1 (164). The value obtained for the uncorrected formation energy is -1.03 eV/atom.

```
data_ScTaN
_chemical_formula_sum 'Sc2 Ta2 N2'
_cell_length_a 3.0858
_cell_length_b 3.0858
_cell_length_c 10.3299
_cell_angle_alpha 90.00
_cell_angle_beta 90.00
_cell_angle_gamma 120.00
_symmetry_space_group_name_H-M 'P 1'
_symmetry_Int_Tables_number 1
loop_
_symmetry_equiv_pos_as_xyz
'x,y,z'
loop_
_atom_site_label
_atom_site_fract_x
_atom_site_fract_y
_atom_site_fract_z
Sc1 0.0000 0.0000 0.5000
Sc2 0.0000 0.0000 0.0000
Ta1 0.6667 0.3333 0.7546
Ta2 0.3333 0.6667 0.2454
N1 0.6667 0.3333 0.3701
N2 0.3333 0.6667 0.6299
```

(2)
The following is a DFT calculation (PBE) of a relaxed structure of RbCd2HgAu.

Summary:
The value obtained for the formation energy is -0.83 eV/f.u. The energy above the most stable polymorph in this dataset is 0.0 meV/atom. The space group is Imm2 (44).

```
data_RbCd2HgAu
_chemical_formula_sum 'Rb1 Cd2 Hg1 Au1'
_cell_length_a 4.9163
_cell_length_b 4.8170
_cell_length_c 7.1188
_cell_angle_alpha 109.77
_cell_angle_beta 110.20
_cell_angle_gamma 90.00
_symmetry_space_group_name_H-M 'P 1'
_symmetry_Int_Tables_number 1
loop_
_symmetry_equiv_pos_as_xyz
'x,y,z'
loop_
_atom_site_label
_atom_site_fract_x
_atom_site_fract_y
_atom_site_fract_z
Rb1 0.4358 0.4358 0.8716
Cd1 0.6986 0.1986 0.3972
Cd2 0.0522 0.0522 0.1044
Hg1 0.1969 0.6969 0.3939
Au1 0.8286 0.8286 0.6572
```

(3)
The following is a DFT calculation (PBE) of a relaxed structure of ScAlCd.

Summary:
The value obtained for the formation energy is 0.66 eV/f.u. The space group is F-43m (216).

```
data_ScAlCd
_chemical_formula_sum 'Sc1 Al1 Cd1'
_cell_length_a 4.7151
_cell_length_b 4.7151
_cell_length_c 4.7151
_cell_angle_alpha 60.00
_cell_angle_beta 60.00
_cell_angle_gamma 60.00
_symmetry_space_group_name_H-M 'P 1'
_symmetry_Int_Tables_number 1
loop_
_symmetry_equiv_pos_as_xyz
'x,y,z'
loop_
_atom_site_label
_atom_site_fract_x
_atom_site_fract_y
_atom_site_fract_z
Sc1 0.5000 0.5000 0.5000
Al1 0.2500 0.2500 0.2500
Cd1 0.7500 0.7500 0.7500
```

(4)
The following is a DFT calculation (PBE) of a relaxed structure of PrIn12Rh6.

Summary:
The value obtained for the formation energy is -5.61 eV/f.u. The space group is R-3m (166).

```
data_PrIn12Rh6
_chemical_formula_sum 'Pr1 In12 Rh6'
_cell_length_a 7.8119
_cell_length_b 7.8119
_cell_length_c 7.8119
_cell_angle_alpha 105.67
_cell_angle_beta 105.67
_cell_angle_gamma 105.67
_symmetry_space_group_name_H-M 'P 1'
_symmetry_Int_Tables_number 1
loop_
_symmetry_equiv_pos_as_xyz
'x,y,z'
loop_
_atom_site_label
_atom_site_fract_x
_atom_site_fract_y
_atom_site_fract_z
Pr1 0.0000 0.0000 0.0000
In1 0.8807 0.1193 0.5000
In2 0.8497 0.5897 0.5897
In3 0.5897 0.5897 0.8497
In4 0.4103 0.1503 0.4103
In5 0.4103 0.4103 0.1503
In6 0.1503 0.4103 0.4103
In7 0.1193 0.5000 0.8807
In8 0.5000 0.8807 0.1193
In9 0.1193 0.8807 0.5000
In10 0.8807 0.5000 0.1193
In11 0.5000 0.1193 0.8807
In12 0.5897 0.8497 0.5897
Rh1 0.6947 0.2709 0.2709
Rh2 0.2709 0.2709 0.6947
Rh3 0.2709 0.6947 0.2709
Rh4 0.7291 0.7291 0.3053
Rh5 0.3053 0.7291 0.7291
Rh6 0.7291 0.3053 0.7291
```

(5)
The following is a DFT calculation (PBE) of a relaxed structure of Hf2Al2Cr.

Summary:
The value obtained for the formation energy is -0.42 eV/f.u. The space group is P4/mbm (127).

```
data_Hf2Al2Cr
_chemical_formula_sum 'Hf4 Al4 Cr2'
_cell_length_a 6.8063
_cell_length_b 6.8063
_cell_length_c 3.8435
_cell_angle_alpha 90.00
_cell_angle_beta 90.00
_cell_angle_gamma 90.00
_symmetry_space_group_name_H-M 'P 1'
_symmetry_Int_Tables_number 1
loop_
_symmetry_equiv_pos_as_xyz
'x,y,z'
loop_
_atom_site_label
_atom_site_fract_x
_atom_site_fract_y
_atom_site_fract_z
Cr1 0.0000 0.0000 0.0000
Cr2 0.5000 0.5000 0.0000
Hf1 0.1739 0.6739 0.5000
Hf2 0.6739 0.8261 0.5000
Hf3 0.8261 0.3261 0.5000
Hf4 0.3261 0.1739 0.5000
Al1 0.3682 0.8682 0.0000
Al2 0.8682 0.6318 0.0000
Al3 0.6318 0.1318 0.0000
Al4 0.1318 0.3682 0.0000
```

(6)
The following is a DFT calculation (PBE) of a relaxed structure of RbPrCdO3.

Summary:
The space group is P2_1/m (11). The value obtained for the uncorrected formation energy is -1.97 eV/atom.

```
data_RbPrCdO3
_chemical_formula_sum 'Rb2 Pr2 Cd2 O6'
_cell_length_a 3.7817
_cell_length_b 9.7110
_cell_length_c 6.9742
_cell_angle_alpha 105.64
_cell_angle_beta 90.00
_cell_angle_gamma 90.00
_symmetry_space_group_name_H-M 'P 1'
_symmetry_Int_Tables_number 1
loop_
_symmetry_equiv_pos_as_xyz
'x,y,z'
loop_
_atom_site_label
_atom_site_fract_x
_atom_site_fract_y
_atom_site_fract_z
Rb1 0.2500 0.3134 0.3609
Rb2 0.7500 0.6866 0.6391
Pr1 0.2500 0.6580 0.1246
Pr2 0.7500 0.3420 0.8754
Cd1 0.2500 0.0461 0.6862
Cd2 0.7500 0.9539 0.3138
O1 0.7500 0.7891 0.0466
O2 0.2500 0.2109 0.9534
O3 0.2500 0.8498 0.4535
O4 0.7500 0.1502 0.5465
O5 0.7500 0.5133 0.1890
O6 0.2500 0.4867 0.8110
```

(7)
The following is a DFT calculation (PBE) of a relaxed structure of LaPr4Y2Tm2.

Summary:
The value obtained for the formation energy is 0.20 eV/f.u. The space group is C2/m (12).

```
data_LaPr4Y2Tm2
_chemical_formula_sum 'La1 Pr4 Y2 Tm2'
_cell_length_a 5.1368
_cell_length_b 8.1309
_cell_length_c 8.1179
_cell_angle_alpha 107.05
_cell_angle_beta 90.00
_cell_angle_gamma 108.41
_symmetry_space_group_name_H-M 'P 1'
_symmetry_Int_Tables_number 1
loop_
_symmetry_equiv_pos_as_xyz
'x,y,z'
loop_
_atom_site_label
_atom_site_fract_x
_atom_site_fract_y
_atom_site_fract_z
La1 0.0000 0.0000 0.0000
Pr1 0.7772 0.5545 0.6709
Pr2 0.2228 0.4455 0.3291
Pr3 0.5547 0.1095 0.3312
Pr4 0.4453 0.8905 0.6688
Y1 0.8880 0.7761 0.3322
Y2 0.1120 0.2239 0.6678
Tm1 0.3307 0.6613 0.0015
Tm2 0.6693 0.3387 0.9985
```

(8)
The following is a DFT calculation (PBE) of a relaxed structure of TaCF2.

Summary:
The energy above the most stable polymorph in this dataset is 935.6 meV/atom. The space group is R-3m (166). The value obtained for the uncorrected formation energy is 0.12 eV/atom.

```
data_TaCF2
_chemical_formula_sum 'Ta1 C1 F2'
_cell_length_a 9.5458
_cell_length_b 9.5458
_cell_length_c 9.5458
_cell_angle_alpha 16.57
_cell_angle_beta 16.57
_cell_angle_gamma 16.57
_symmetry_space_group_name_H-M 'P 1'
_symmetry_Int_Tables_number 1
loop_
_symmetry_equiv_pos_as_xyz
'x,y,z'
loop_
_atom_site_label
_atom_site_fract_x
_atom_site_fract_y
_atom_site_fract_z
C1 0.0000 0.0000 0.0000
F1 0.8880 0.8880 0.8880
F2 0.1120 0.1120 0.1120
Ta1 0.5000 0.5000 0.5000
```

(9)
The following is a DFT calculation (PBE) of a relaxed structure of NaTmIn2.

Summary:
The value obtained for the formation energy is -1.12 eV/f.u. The energy above the most stable polymorph in this dataset is 0.0 meV/atom. The space group is P4/mmm (123).

```
data_NaTmIn2
_chemical_formula_sum 'Na1 Tm1 In2'
_cell_length_a 3.7747
_cell_length_b 5.2033
_cell_length_c 5.2033
_cell_angle_alpha 90.00
_cell_angle_beta 90.00
_cell_angle_gamma 90.00
_symmetry_space_group_name_H-M 'P 1'
_symmetry_Int_Tables_number 1
loop_
_symmetry_equiv_pos_as_xyz
'x,y,z'
loop_
_atom_site_label
_atom_site_fract_x
_atom_site_fract_y
_atom_site_fract_z
Na1 0.5000 0.0000 0.0000
Tm1 0.5000 0.5000 0.5000
In1 0.0000 0.0000 0.5000
In2 0.0000 0.5000 0.0000
```

(10)
The following is a DFT calculation (PBE) of a relaxed structure of CaAl3Pd.

Summary:
The value obtained for the formation energy is 7.14 eV/f.u. The space group is Pm-3m (221).

```
data_CaAl3Pd
_chemical_formula_sum 'Ca1 Al3 Pd1'
_cell_length_a 5.4017
_cell_length_b 5.4017
_cell_length_c 5.4017
_cell_angle_alpha 90.00
_cell_angle_beta 90.00
_cell_angle_gamma 90.00
_symmetry_space_group_name_H-M 'P 1'
_symmetry_Int_Tables_number 1
loop_
_symmetry_equiv_pos_as_xyz
'x,y,z'
loop_
_atom_site_label
_atom_site_fract_x
_atom_site_fract_y
_atom_site_fract_z
Ca1 0.0000 0.0000 0.0000
Al1 0.0000 0.5000 0.0000
Al2 0.0000 0.0000 0.5000
Al3 0.5000 0.0000 0.0000
Pd1 0.5000 0.5000 0.5000
```